(1)
# KCd2

A relaxed structure of KCd2 (PBE-GGA, OQMD via LeMat-Bulk).

The space group is Fd-3m (No. 227, origin choice 2) and the conventional cell measures 8.8574, 8.8574 and 8.8574 Å, with angles of 90.00, 90.00 and 90.00 degrees. The inequivalent atoms are K at (0.1250, 0.1250, 0.1250) and Cd at (0.0000, 0.0000, 0.5000).

Its final energy is -1.059 eV/atom. The crystal system is cubic.

=====

(2)
# Rb2Cd2O5

A relaxed structure of Rb2Cd2O5 (PBE-GGA, OQMD via LeMat-Bulk).

The space group is P4/mmm (No. 123) and the conventional cell measures 4.1320, 4.1320 and 9.2866 Å, with angles of 90.00, 90.00 and 90.00 degrees. The inequivalent atoms are Rb at (0.0000, 0.0000, 0.0000), Rb at (0.0000, 0.0000, 0.5000), Cd at (0.5000, 0.5000, 0.2306), O at (0.0000, 0.5000, 0.2809) and O at (0.5000, 0.5000, 0.0000).

The energy above the most stable polymorph in this dataset comes out at 0.00 eV/f.u. The crystal system is tetragonal.

=====

(3)
# CdAgNO

A relaxed structure of CdAgNO (PBE-GGA, OQMD via LeMat-Bulk).

The space group is P4/nmm (No. 129, origin choice 2) and the conventional cell measures 4.5770, 4.5770 and 4.8418 Å, with angles of 90.00, 90.00 and 90.00 degrees. The inequivalent atoms are Cd at (0.2500, 0.7500, 0.0000), Ag at (0.2500, 0.2500, 0.4972), N at (0.2500, 0.2500, 0.9964) and O at (0.2500, 0.7500, 0.5000).

The energy above the most stable polymorph in this dataset comes out at 0.43 eV/f.u. The crystal system is tetragonal.

=====

(4)
# YScCuSb

A relaxed structure of YScCuSb (PBE-GGA, OQMD via LeMat-Bulk).

The space group is F-43m (No. 216) and the conventional cell measures 7.0582, 7.0582 and 7.0582 Å, with angles of 90.00, 90.00 and 90.00 degrees. The inequivalent atoms are Y at (0.0000, 0.0000, 0.0000), Sc at (0.2500, 0.2500, 0.7500), Cu at (0.2500, 0.2500, 0.2500) and Sb at (0.0000, 0.0000, 0.5000).

The value obtained for the spin magnetization is 3.29 Bohr magnetons per cell. The energy above the most stable polymorph in this dataset comes out at 0.00 eV/f.u. The crystal system is cubic.

=====

(5)
# CoI3

A relaxed structure of CoI3 (PBE-GGA, OQMD via LeMat-Bulk).

The space group is P6_3/mcm (No. 193) and the conventional cell measures 6.9624, 6.9624 and 6.4569 Å, with angles of 90.00, 90.00 and 120.00 degrees. The inequivalent atoms are Co at (0.0000, 0.0000, 0.0000) and I at (0.0000, 0.2932, 0.2500).

The value obtained for the spin magnetization is 0.00 Bohr magnetons per cell. Its final energy is -2.988 eV/atom. The crystal system is hexagonal.

=====

(6)
# LaTbNi

A relaxed structure of LaTbNi (PBE-GGA, OQMD via LeMat-Bulk).

The space group is F-43m (No. 216) and the conventional cell measures 6.8466, 6.8466 and 6.8466 Å, with angles of 90.00, 90.00 and 90.00 degrees. The inequivalent atoms are La at (0.0000, 0.0000, 0.0000), Tb at (0.0000, 0.0000, 0.5000) and Ni at (0.2500, 0.2500, 0.2500).

The value obtained for the spin magnetization is 0.01 Bohr magnetons per cell. The energy above the most stable polymorph in this dataset comes out at 0.00 eV/f.u. The crystal system is cubic. The calculation puts the formation energy at -0.0931 eV/atom.

=====

(7)
# NiAgBi2

A relaxed structure of NiAgBi2 (PBE-GGA, OQMD via LeMat-Bulk).

The space group is F-43m (No. 216) and the conventional cell measures 7.1925, 7.1925 and 7.1925 Å, with angles of 90.00, 90.00 and 90.00 degrees. The inequivalent atoms are Ni at (0.0000, 0.0000, 0.0000), Ag at (0.2500, 0.2500, 0.2500), Bi at (0.0000, 0.0000, 0.5000) and Bi at (0.2500, 0.2500, 0.7500).

The value obtained for the spin magnetization is 0.03 Bohr magnetons per cell. Its final energy is -3.674 eV/atom. The crystal system is cubic.

=====

(8)
# ErLuS2Br2

A relaxed structure of ErLuS2Br2 (PBE-GGA, OQMD via LeMat-Bulk).

The space group is Pmm2 (No. 25) and the conventional cell measures 3.9823, 5.2917 and 9.0039 Å, with angles of 90.00, 90.00 and 90.00 degrees. The inequivalent atoms are Er at (0.0000, 0.0000, 0.0000), Lu at (0.5000, 0.5000, 0.2508), S at (0.0000, 0.5000, 0.0503), S at (0.5000, 0.0000, 0.2053), Br at (0.0000, 0.5000, 0.4648) and Br at (0.5000, 0.0000, 0.7818).

The value obtained for the spin magnetization is 0.00 Bohr magnetons per cell. Its final energy is -5.455 eV/atom. The crystal system is orthorhombic.

=====

(9)
# HfRe2Pb

A relaxed structure of HfRe2Pb (PBE-GGA, OQMD via LeMat-Bulk).

The space group is F-43m (No. 216) and the conventional cell measures 6.6382, 6.6382 and 6.6382 Å, with angles of 90.00, 90.00 and 90.00 degrees. The inequivalent atoms are Hf at (0.0000, 0.0000, 0.0000), Re at (0.0000, 0.0000, 0.5000), Re at (0.2500, 0.2500, 0.2500) and Pb at (0.2500, 0.2500, 0.7500).

The value obtained for the spin magnetization is 1.64 Bohr magnetons per cell. Its final energy is -8.947 eV/atom. The crystal system is cubic.

=====

(10)
# Ba2LaNbO6

A relaxed structure of Ba2LaNbO6 (PBE-GGA, OQMD via LeMat-Bulk).

The space group is Fm-3m (No. 225) and the conventional cell measures 8.6807, 8.6807 and 8.6807 Å, with angles of 90.00, 90.00 and 90.00 degrees. The inequivalent atoms are Ba at (0.2500, 0.2500, 0.2500), La at (0.0000, 0.0000, 0.0000), Nb at (0.0000, 0.0000, 0.5000) and O at (0.0000, 0.0000, 0.2687).

The value obtained for the spin magnetization is 0.00 Bohr magnetons per cell. Its final energy is -7.800 eV/atom. The crystal system is cubic.

=====

(11)
# SrNdS2

A relaxed structure of SrNdS2 (PBE-GGA, OQMD via LeMat-Bulk).

The space group is P4/mmm (No. 123) and the conventional cell measures 4.1482, 4.1482 and 5.8669 Å, with angles of 90.00, 90.00 and 90.00 degrees. The inequivalent atoms are Sr at (0.0000, 0.0000, 0.0000), Nd at (0.5000, 0.5000, 0.5000), S at (0.0000, 0.0000, 0.5000) and S at (0.5000, 0.5000, 0.0000).

The value obtained for the spin magnetization is 0.01 Bohr magnetons per cell. Its final energy is -5.718 eV/atom. The crystal system is tetragonal.

=====

(12)
# DyYFe2B2N2

A relaxed structure of DyYFe2B2N2 (PBE-GGA, OQMD via LeMat-Bulk).

The space group is P4mm (No. 99) and the conventional cell measures 3.4455, 3.4455 and 7.7090 Å, with angles of 90.00, 90.00 and 90.00 degrees. The inequivalent atoms are Dy at (0.0000, 0.0000, 0.0000), Y at (0.5000, 0.5000, 0.3308), Fe at (0.0000, 0.5000, 0.6658), B at (0.0000, 0.0000, 0.5009), B at (0.5000, 0.5000, 0.8304), N at (0.0000, 0.0000, 0.3075) and N at (0.5000, 0.5000, 0.0236).

The value obtained for the spin magnetization is 2.36 Bohr magnetons per cell. Its final energy is -8.234 eV/atom. The crystal system is tetragonal.